Record 1
BaBeBr | meta-GGA SCAN | PBEsol geometry

Results
D(E_F): 0.570 states/eV/atom
V: 31.052 Å³ per atom
Energy relative to the elements, uncorrected: -5.8 kJ per mole of atoms

```
data_BaBeBr
_chemical_formula_sum 'Ba4 Be4 Br4'
_cell_length_a 7.1960
_cell_length_b 7.1960
_cell_length_c 7.1960
_cell_angle_alpha 90.00
_cell_angle_beta 90.00
_cell_angle_gamma 90.00
_symmetry_space_group_name_H-M 'F -4 3 m'
_symmetry_Int_Tables_number 216
_symmetry_space_group_name_Hall 'F -4 2 3'
loop_
_atom_site_label
_atom_site_fract_x
_atom_site_fract_y
_atom_site_fract_z
Ba1 0.0000 0.0000 0.0000
Be1 0.2500 0.2500 0.2500
Br1 0.0000 0.0000 0.5000
```

---

Record 2
Ba2BeHBr | meta-GGA SCAN | PBEsol geometry

Results
D(E_F): 0.588 states/eV/atom
V: 32.652 Å³ per atom
Final energy: -21.1549 eV/atom

```
data_Ba2BeHBr
_chemical_formula_sum 'Ba2 Be1 H1 Br1'
_cell_length_a 5.8144
_cell_length_b 5.8144
_cell_length_c 4.8292
_cell_angle_alpha 90.00
_cell_angle_beta 90.00
_cell_angle_gamma 90.00
_symmetry_space_group_name_H-M 'P 4/m m m'
_symmetry_Int_Tables_number 123
_symmetry_space_group_name_Hall '-P 4 2'
loop_
_atom_site_label
_atom_site_fract_x
_atom_site_fract_y
_atom_site_fract_z
Ba1 0.0000 0.5000 0.0000
Be1 0.0000 0.0000 0.0000
H1 0.5000 0.5000 0.5000
Br1 0.0000 0.0000 0.5000
```

---

Record 3
BaLa2BeBr | meta-GGA SCAN | PBEsol geometry

Results
D(E_F): 0.881 states/eV/atom
V: 36.933 Å³ per atom
Energy relative to the elements, uncorrected: 8.7 kJ per mole of atoms

```
data_BaLa2BeBr
_chemical_formula_sum 'Ba1 La2 Be1 Br1'
_cell_length_a 5.5808
_cell_length_b 5.5808
_cell_length_c 5.9290
_cell_angle_alpha 90.00
_cell_angle_beta 90.00
_cell_angle_gamma 90.00
_symmetry_space_group_name_H-M 'P 4/m m m'
_symmetry_Int_Tables_number 123
_symmetry_space_group_name_Hall '-P 4 2'
loop_
_atom_site_label
_atom_site_fract_x
_atom_site_fract_y
_atom_site_fract_z
Ba1 0.0000 0.0000 0.0000
La1 0.0000 0.5000 0.5000
Be1 0.5000 0.5000 0.0000
Br1 0.0000 0.0000 0.5000
```